(1)
# NaSc2TeOs PBE relaxed
# D(E_F), states/eV/cell: 6.0
# Formation energy from raw total energies, meV/atom: 669
data_NaSc2TeOs
_chemical_formula_sum 'Na1 Sc2 Te1 Os1'
_symmetry_space_group_name_H-M 'P 4/m m m'
_symmetry_Int_Tables_number 123
_symmetry_space_group_name_Hall '-P 4 2'
_cell_length_a 5.373
_cell_length_b 5.373
_cell_length_c 4.886
_cell_angle_alpha 90.00
_cell_angle_beta 90.00
_cell_angle_gamma 90.00
loop_
_atom_site_label
_atom_site_fract_x
_atom_site_fract_y
_atom_site_fract_z
Na1 0.000 0.000 0.000
Sc1 0.000 0.500 0.500
Te1 0.500 0.500 0.500
Os1 0.500 0.500 0.000


(2)
# Er5Au2 PBE relaxed
# E_form, meV per atom: -522
# D(E_F), states/eV/cell: 31.2
data_Er5Au2
_chemical_formula_sum 'Er20 Au8'
_symmetry_space_group_name_H-M 'C 1 2/c 1'
_symmetry_Int_Tables_number 15
_cell_length_a 16.380
_cell_length_b 6.779
_cell_length_c 6.904
_cell_angle_alpha 90.00
_cell_angle_beta 95.54
_cell_angle_gamma 90.00
loop_
_symmetry_equiv_pos_as_xyz
'x,y,z'
'-x,-y,-z'
'-x,y,-z+1/2'
'x,-y,z+1/2'
'x+1/2,y+1/2,z'
'-x+1/2,-y+1/2,-z'
'-x+1/2,y+1/2,-z+1/2'
'x+1/2,-y+1/2,z+1/2'
loop_
_atom_site_label
_atom_site_fract_x
_atom_site_fract_y
_atom_site_fract_z
Er1 0.000 0.046 0.250
Er2 0.094 0.374 0.950
Er3 0.224 0.057 0.295
Au1 0.111 0.219 0.555


What did the second record say?
# Er5Au2 PBE relaxed
# E_form, meV per atom: -522
# D(E_F), states/eV/cell: 31.2
data_Er5Au2
_chemical_formula_sum 'Er20 Au8'
_symmetry_space_group_name_H-M 'C 1 2/c 1'
_symmetry_Int_Tables_number 15
_cell_length_a 16.380
_cell_length_b 6.779
_cell_length_c 6.904
_cell_angle_alpha 90.00
_cell_angle_beta 95.54
_cell_angle_gamma 90.00
loop_
_symmetry_equiv_pos_as_xyz
'x,y,z'
'-x,-y,-z'
'-x,y,-z+1/2'
'x,-y,z+1/2'
'x+1/2,y+1/2,z'
'-x+1/2,-y+1/2,-z'
'-x+1/2,y+1/2,-z+1/2'
'x+1/2,-y+1/2,z+1/2'
loop_
_atom_site_label
_atom_site_fract_x
_atom_site_fract_y
_atom_site_fract_z
Er1 0.000 0.046 0.250
Er2 0.094 0.374 0.950
Er3 0.224 0.057 0.295
Au1 0.111 0.219 0.555